1.
A relaxed Y4UPd15 crystal. Source: the Alexandria database, functional PBE.

total moment: 1.3 μB/f.u.
SG: P4/mmm, No. 123
DFT formation energy: -805 meV per atom

a = 4.1334 Å, b = 4.1334 Å, c = 20.6450 Å
α = 90.00°, β = 90.00°, γ = 90.00°
Last column: magnetic moment on the atom in μB.
Positions (direct):
Y 0.0000 0.0000 0.2023  0.00
Y 0.0000 0.0000 0.3998  0.00
Y 0.0000 0.0000 0.6002  0.00
Y 0.0000 0.0000 0.7977  0.00
U 0.0000 0.0000 0.0000  -1.52
Pd 0.5000 0.5000 0.0000  0.06
Pd 0.5000 0.5000 0.1982  0.01
Pd 0.5000 0.5000 0.3995  0.00
Pd 0.5000 0.5000 0.6005  0.00
Pd 0.5000 0.5000 0.8018  0.01
Pd 0.5000 0.0000 0.0964  0.03
Pd 0.5000 0.0000 0.2992  0.00
Pd 0.5000 0.0000 0.5000  0.00
Pd 0.5000 0.0000 0.7008  0.00
Pd 0.5000 0.0000 0.9036  0.03
Pd 0.0000 0.5000 0.0964  0.03
Pd 0.0000 0.5000 0.2992  0.00
Pd 0.0000 0.5000 0.5000  0.00
Pd 0.0000 0.5000 0.7008  0.00
Pd 0.0000 0.5000 0.9036  0.03

2.
A relaxed YU2Pd9 crystal. Source: the Alexandria database, functional PBE.

total moment: 4.0 μB/f.u.
SG: P4/mmm, No. 123
DFT formation energy: -652 meV per atom

a = 4.1399 Å, b = 4.1399 Å, c = 12.4192 Å
α = 90.00°, β = 90.00°, γ = 90.00°
Last column: magnetic moment on the atom in μB.
Positions (direct):
Y 0.0000 0.0000 0.0000  0.00
U 0.0000 0.0000 0.3315  1.99
U 0.0000 0.0000 0.6685  1.99
Pd 0.5000 0.5000 0.0000  -0.01
Pd 0.5000 0.5000 0.3340  -0.02
Pd 0.5000 0.5000 0.6660  -0.02
Pd 0.5000 0.0000 0.1692  -0.01
Pd 0.5000 0.0000 0.5000  -0.02
Pd 0.5000 0.0000 0.8308  -0.01
Pd 0.0000 0.5000 0.1692  -0.01
Pd 0.0000 0.5000 0.5000  -0.02
Pd 0.0000 0.5000 0.8308  -0.01

3.
A relaxed YUPd14 crystal. Source: the Alexandria database, functional PBE.

total moment: 0.0 μB/f.u.
SG: P4/mmm, No. 123
DFT formation energy: -386 meV per atom

a = 5.8065 Å, b = 5.8065 Å, c = 7.8117 Å
α = 90.00°, β = 90.00°, γ = 90.00°
Positions (direct):
Y 0.3750 0.3750 0.5000
U 0.8750 0.8750 0.5000
Pd 0.8750 0.8750 0.0000
Pd 0.3750 0.3750 0.0000
Pd 0.8750 0.3750 0.5000
Pd 0.8750 0.3750 0.0000
Pd 0.3750 0.8750 0.5000
Pd 0.3750 0.8750 0.0000
Pd 0.6305 0.1195 0.2475
Pd 0.6305 0.1195 0.7525
Pd 0.1195 0.6305 0.2475
Pd 0.1195 0.6305 0.7525
Pd 0.6305 0.6305 0.2475
Pd 0.6305 0.6305 0.7525
Pd 0.1195 0.1195 0.2475
Pd 0.1195 0.1195 0.7525

4.
A relaxed Y2UPd9 crystal. Source: the Alexandria database, functional PBE.

total moment: 1.5 μB/f.u.
SG: P4/mmm, No. 123
DFT formation energy: -775 meV per atom

a = 4.1315 Å, b = 4.1315 Å, c = 12.3776 Å
α = 90.00°, β = 90.00°, γ = 90.00°
Last column: magnetic moment on the atom in μB.
Positions (direct):
Y 0.0000 0.0000 0.3370  0.00
Y 0.0000 0.0000 0.6630  0.00
U 0.0000 0.0000 0.0000  1.59
Pd 0.5000 0.5000 0.0000  -0.05
Pd 0.5000 0.5000 0.3317  -0.01
Pd 0.5000 0.5000 0.6683  -0.01
Pd 0.5000 0.0000 0.1612  -0.03
Pd 0.5000 0.0000 0.5000  -0.01
Pd 0.5000 0.0000 0.8388  -0.03
Pd 0.0000 0.5000 0.1612  -0.03
Pd 0.0000 0.5000 0.5000  -0.01
Pd 0.0000 0.5000 0.8388  -0.03

5.
A relaxed YUPd4 crystal. Source: the Alexandria database, functional PBE.

total moment: 3.1 μB/f.u.
SG: F-43m, No. 216
DFT formation energy: -504 meV per atom

a = 5.4444 Å, b = 5.4444 Å, c = 5.4444 Å
α = 60.00°, β = 60.00°, γ = 60.00°
Last column: magnetic moment on the atom in μB.
Positions (direct):
Y 0.0000 0.0000 0.0000  0.20
U 0.2500 0.2500 0.2500  2.58
Pd 0.6249 0.6249 0.1252  -0.04
Pd 0.6249 0.1252 0.6249  -0.04
Pd 0.6249 0.6249 0.6249  -0.04
Pd 0.1252 0.6249 0.6249  -0.04

6.
A relaxed U2Zn16Pd crystal. Source: the Alexandria database, functional PBE.

total moment: 5.4 μB/f.u.
SG: R3m, No. 160
DFT formation energy: -98 meV per atom

a = 6.7844 Å, b = 6.7844 Å, c = 6.7844 Å
α = 82.83°, β = 82.83°, γ = 82.83°
Last column: magnetic moment on the atom in μB.
Positions (direct):
U 0.6626 0.6626 0.6626  2.42
U 0.3414 0.3414 0.3414  2.45
Zn 0.7067 0.9990 0.2914  0.00
Zn 0.9990 0.2914 0.7067  0.00
Zn 0.2914 0.7067 0.9990  0.00
Zn 0.9990 0.7067 0.2914  0.00
Zn 0.7067 0.2914 0.9990  0.00
Zn 0.2914 0.9990 0.7067  0.00
Zn 0.3553 0.8390 0.3553  0.00
Zn 0.8390 0.3553 0.3553  0.00
Zn 0.3553 0.3553 0.8390  0.00
Zn 0.6479 0.1552 0.6479  0.00
Zn 0.1552 0.6479 0.6479  0.00
Zn 0.6479 0.6479 0.1552  0.00
Zn 0.9986 0.5014 0.9986  0.00
Zn 0.5014 0.9986 0.9986  0.00
Zn 0.9986 0.9986 0.5014  0.00
Zn 0.1052 0.1052 0.1052  0.01
Pd 0.8975 0.8975 0.8975  -0.02

7.
A relaxed UZnPd6 crystal. Source: the Alexandria database, functional PBE.

total moment: 1.1 μB/f.u.
SG: P4/mmm, No. 123
DFT formation energy: -488 meV per atom
excess energy over the best structure of this formula in the dataset: 0.000 eV/f.u.

a = 4.0690 Å, b = 4.0690 Å, c = 7.8748 Å
α = 90.00°, β = 90.00°, γ = 90.00°
Last column: magnetic moment on the atom in μB.
Positions (direct):
U 0.0000 0.0000 0.5000  1.25
Zn 0.0000 0.0000 0.0000  0.00
Pd 0.5000 0.5000 0.0000  -0.03
Pd 0.5000 0.5000 0.5000  -0.04
Pd 0.5000 0.0000 0.2457  -0.04
Pd 0.5000 0.0000 0.7543  -0.04
Pd 0.0000 0.5000 0.2457  -0.04
Pd 0.0000 0.5000 0.7543  -0.04

8.
A relaxed UZn2Pd crystal. Source: the Alexandria database, functional PBE.

total moment: 1.8 μB/f.u.
SG: P4/mmm, No. 123
DFT formation energy: -199 meV per atom

a = 2.8081 Å, b = 2.8081 Å, c = 8.4448 Å
α = 90.00°, β = 90.00°, γ = 90.00°
Last column: magnetic moment on the atom in μB.
Positions (direct):
Zn 0.0000 0.0000 0.7888  0.01
Zn 0.0000 0.0000 0.2112  0.01
U 0.5000 0.5000 0.5000  1.66
Pd 0.5000 0.5000 0.0000  0.04

9.
A relaxed UZnPd5 crystal. Source: the Alexandria database, functional PBE.

total moment: 0.0 μB/f.u.
SG: Imm2, No. 44
DFT formation energy: -175 meV per atom

a = 8.8155 Å, b = 5.2242 Å, c = 5.7764 Å
α = 116.88°, β = 139.73°, γ = 90.00°
Positions (direct):
U 0.7565 0.0000 0.0000
Zn 0.1034 0.5000 0.0000
Pd 0.3136 0.2421 0.4841
Pd 0.8369 0.5000 0.0000
Pd 0.8295 0.7579 0.5159
Pd 0.3454 0.7558 0.0000
Pd 0.3454 0.2442 0.0000

10.
A relaxed UZnPd4 crystal. Source: the Alexandria database, functional PBE.

total moment: 2.1 μB/f.u.
SG: F-43m, No. 216
DFT formation energy: -332 meV per atom
excess energy over the best structure of this formula in the dataset: 0.000 eV/f.u.

a = 5.3146 Å, b = 5.3146 Å, c = 5.3146 Å
α = 60.00°, β = 60.00°, γ = 60.00°
Last column: magnetic moment on the atom in μB.
Positions (direct):
Zn 0.0000 0.0000 0.0000  0.02
U 0.2500 0.2500 0.2500  2.16
Pd 0.6257 0.6257 0.1230  -0.07
Pd 0.6257 0.1230 0.6257  -0.07
Pd 0.6257 0.6257 0.6257  -0.07
Pd 0.1230 0.6257 0.6257  -0.07

11.
A relaxed U2ZnPd9 crystal. Source: the Alexandria database, functional PBE.

total moment: 3.1 μB/f.u.
SG: P4/mmm, No. 123
DFT formation energy: -497 meV per atom

a = 4.0954 Å, b = 4.0954 Å, c = 12.0168 Å
α = 90.00°, β = 90.00°, γ = 90.00°
Last column: magnetic moment on the atom in μB.
Positions (direct):
U 0.0000 0.0000 0.3227  1.65
U 0.0000 0.0000 0.6773  1.65
Zn 0.0000 0.0000 0.0000  0.00
Pd 0.5000 0.5000 0.0000  -0.03
Pd 0.5000 0.5000 0.3298  -0.04
Pd 0.5000 0.5000 0.6702  -0.04
Pd 0.5000 0.0000 0.1603  -0.04
Pd 0.5000 0.0000 0.5000  -0.04
Pd 0.5000 0.0000 0.8397  -0.04
Pd 0.0000 0.5000 0.1603  -0.04
Pd 0.0000 0.5000 0.5000  -0.04
Pd 0.0000 0.5000 0.8397  -0.04

12.
A relaxed UZnPd6 crystal. Source: the Alexandria database, functional PBE.

total moment: 1.4 μB/f.u.
SG: P-1, No. 2
DFT formation energy: -339 meV per atom
excess energy over the best structure of this formula in the dataset: 1.197 eV/f.u.

a = 7.0189 Å, b = 7.5669 Å, c = 5.1440 Å
α = 42.86°, β = 47.33°, γ = 57.41°
Last column: magnetic moment on the atom in μB.
Positions (direct):
U 0.0000 0.0000 0.0000  1.46
Zn 0.5000 0.5000 0.5000  0.00
Pd 0.9405 0.4437 0.8694  -0.04
Pd 0.7464 0.9419 0.7569  -0.04
Pd 0.4448 0.2534 0.3588  -0.03
Pd 0.2536 0.0581 0.2431  -0.04
Pd 0.0595 0.5563 0.1306  -0.04
Pd 0.5552 0.7466 0.6412  -0.03

Q: What is the formula in the first record?
A: Y4UPd15

Q: What is the formula in the third record?
A: YUPd14

Q: What is the total moment in the first record?
A: 1.3 μB/f.u.

Q: DFT formation energy of number 2 (YU2Pd9)?
A: -652 meV per atom